Entry 1:
The following is a DFT calculation (GGA-PBE) of Ce3SmH8 after structural relaxation.

Unit cell a=5.4298 b=5.4298 c=5.4298 alpha=90.00 beta=90.00 gamma=90.00
Fractional positions:
Ce: 0.0000 0.0000 0.5000
Ce: 0.0000 0.5000 0.0000
Ce: 0.5000 0.0000 0.0000
Sm: 0.5000 0.5000 0.5000
H: 0.2521 0.2521 0.2521
H: 0.2521 0.2521 0.7479
H: 0.2521 0.7479 0.2521
H: 0.2521 0.7479 0.7479
H: 0.7479 0.2521 0.2521
H: 0.7479 0.2521 0.7479
H: 0.7479 0.7479 0.2521
H: 0.7479 0.7479 0.7479

Properties
Spin magnetization   2.74 Bohr magnetons per cell
DOS at the Fermi energy   21.4 states/eV per cell
E   -4.68 eV per atom


Entry 2:
The following is a DFT calculation (GGA-PBE) of Ce2SmH after structural relaxation.

Unit cell a=3.2439 b=3.2439 c=8.5364 alpha=90.00 beta=90.00 gamma=90.00
Fractional positions:
Ce: 0.0000 0.0000 0.1612
Ce: 0.0000 0.0000 0.8388
Sm: 0.5000 0.5000 0.5000
H: 0.5000 0.5000 0.0000

Properties
Spin magnetization   0.00 Bohr magnetons per cell
DOS at the Fermi energy   8.1 states/eV per cell
Relative energy among the computed polymorphs   136 meV per atom
E   -4.92 eV per atom


Entry 3:
The following is a DFT calculation (GGA-PBE) of CeSm2H8 after structural relaxation.

Unit cell a=6.5423 b=6.5423 c=6.5423 alpha=146.56 beta=130.98 gamma=60.64
Fractional positions:
Ce: 0.0000 0.0000 0.0000
Sm: 0.3308 0.3308 0.0000
Sm: 0.6692 0.6692 0.0000
H: 0.0999 0.8376 0.2623
H: 0.1548 0.6548 0.5000
H: 0.2734 0.5000 0.7734
H: 0.4247 0.1624 0.2623
H: 0.5753 0.8376 0.7377
H: 0.7266 0.5000 0.2266
H: 0.8452 0.3452 0.5000
H: 0.9001 0.1624 0.7377

Properties
Spin magnetization   0.86 Bohr magnetons per cell
DOS at the Fermi energy   7.3 states/eV per cell
E   -4.41 eV per atom


Entry 4:
The following is a DFT calculation (GGA-PBE) of CeSmH4 after structural relaxation.

Unit cell a=3.8194 b=3.8194 c=5.4340 alpha=90.00 beta=90.00 gamma=90.00
Fractional positions:
Ce: 0.0000 0.0000 0.0000
Sm: 0.5000 0.5000 0.5000
H: 0.0000 0.5000 0.2540
H: 0.0000 0.5000 0.7460
H: 0.5000 0.0000 0.2540
H: 0.5000 0.0000 0.7460

Properties
Spin magnetization   0.83 Bohr magnetons per cell
DOS at the Fermi energy   7.3 states/eV per cell
E   -4.61 eV per atom


Entry 5:
The following is a DFT calculation (GGA-PBE) of Ce4Sm2Te3H2 after structural relaxation.

Unit cell a=13.8937 b=13.8937 c=13.8937 alpha=161.47 beta=161.47 gamma=26.32
Fractional positions:
Ce: 0.0869 0.5869 0.5000
Ce: 0.4131 0.9131 0.5000
Ce: 0.5869 0.0869 0.5000
Ce: 0.9131 0.4131 0.5000
Sm: 0.2041 0.2041 0.0000
Sm: 0.7959 0.7959 0.0000
Te: 0.3224 0.3224 0.0000
Te: 0.5000 0.5000 0.0000
Te: 0.6776 0.6776 0.0000
H: 0.0662 0.0662 0.0000
H: 0.9338 0.9338 0.0000

Properties
Spin magnetization   3.38 Bohr magnetons per cell
DOS at the Fermi energy   20.4 states/eV per cell
E   -5.27 eV per atom


Entry 6:
The following is a DFT calculation (GGA-PBE) of Ce4Sn3H4 after structural relaxation.

Unit cell a=12.9420 b=12.9420 c=12.9420 alpha=162.38 beta=160.56 gamma=26.35
Fractional positions:
Ce: 0.0652 0.0652 0.0000
Ce: 0.2043 0.7043 0.5000
Ce: 0.7957 0.2957 0.5000
Ce: 0.9348 0.9348 0.0000
Sn: 0.3431 0.8431 0.5000
Sn: 0.5000 0.5000 0.0000
Sn: 0.6569 0.1569 0.5000
H: 0.1118 0.6118 0.5000
H: 0.2543 0.2543 0.0000
H: 0.7457 0.7457 0.0000
H: 0.8882 0.3882 0.5000

Properties
Spin magnetization   0.38 Bohr magnetons per cell
DOS at the Fermi energy   15.1 states/eV per cell
E   -4.98 eV per atom